An optimized crystal structure of LaMgCrFeO6, computed with PBE with a Hubbard U.

Computed properties:
**V**: 223 Å³ per cell
**Energy**: -141.30 eV for the cell shown

```
data_LaMgCrFeO6
_chemical_formula_sum 'La2 Mg2 Cr2 Fe2 O12'
_cell_length_a 5.2798
_cell_length_b 5.4796
_cell_length_c 9.2708
_cell_angle_alpha 90.00
_cell_angle_beta 123.79
_cell_angle_gamma 90.00
_space_group_name_H-M_alt 'P 1 c 1'
_space_group_IT_number 7
_space_group_name_Hall 'P -2yc'
loop_
_atom_site_label
_atom_site_fract_x
_atom_site_fract_y
_atom_site_fract_z
_atom_site_occupancy
La1 0.0000 0.2091 0.0000 1
Mg1 0.4516 0.3077 0.4970 1
Cr1 0.7414 0.2605 0.2530 1
Fe1 0.2410 0.2450 0.7481 1
O1 0.0211 0.4839 0.8057 1
O2 0.1008 0.0551 0.3065 1
O3 0.4027 0.4904 0.1869 1
O4 0.4834 0.0470 0.6874 1
O5 0.5727 0.2885 0.0103 1
O6 0.8314 0.2314 0.4831 1
```